No. 1
## TmCd2Hg6 (GGA-PBE)

Data for a geometry-optimized TmCd2Hg6 structure.

Cell lengths 5.1313, 5.1313, 9.5922 Å; angles 90.05, 90.05, 60.01 degrees
Last column: nearest neighbours and their distance in Å.
Sites, in units of the cell vectors:
Tm  0.0000  0.0000  0.0000  8 Hg 3.14-3.22, 6 Cd 3.48
Cd  0.3334  0.3334  0.1898  8 Hg 3.01-3.28
Cd  0.6666  0.6666  0.8102  8 Hg 3.01-3.28
Hg  0.0001  0.0001  0.3278  1 Tm 3.14, 3 Cd 3.24-3.25, 7 Hg 3.26-3.51
Hg  0.9999  0.9999  0.6722  1 Tm 3.14, 3 Cd 3.24-3.25, 7 Hg 3.26-3.51
Hg  0.3333  0.3333  0.5314  7 Hg 3.02-3.26, 1 Cd 3.28
Hg  0.3333  0.3333  0.8683  4 Cd 3.01-3.08, 3 Tm 3.22, 1 Hg 3.23
Hg  0.6667  0.6667  0.1317  4 Cd 3.01-3.08, 3 Tm 3.22, 1 Hg 3.23
Hg  0.6667  0.6667  0.4686  7 Hg 3.02-3.26, 1 Cd 3.28

Output
The total magnetization comes out at 0.00 μB/f.u. The density of states at the Fermi level comes out at 2.990 states/eV/f.u. The energy above the most stable polymorph in this dataset is 0.000 eV per formula unit. The value obtained for the energy of formation is -0.112 eV per atom. Its space group is No. 12. For the theoretical density, the calculation gives 12.126 g/cm³. The total energy comes out at -0.037 Ha/atom.

---

No. 2
## TmCdHg6 (GGA-PBE)

Data for a geometry-optimized TmCdHg6 structure.

Cell lengths 4.5569, 4.5569, 9.2538 Å; angles 90.00, 90.00, 90.00 degrees
Last column: nearest neighbours and their distance in Å.
Sites, in units of the cell vectors:
Tm  0.0000  0.0000  0.0000  12 Hg 3.22-3.23
Cd  0.0000  0.0000  0.5000  12 Hg 3.22-3.26
Hg  0.0000  0.5000  0.2478  8 Hg 3.22-3.26, 2 Tm 3.23, 2 Cd 3.26
Hg  0.0000  0.5000  0.7522  8 Hg 3.22-3.26, 2 Tm 3.23, 2 Cd 3.26
Hg  0.5000  0.0000  0.2478  8 Hg 3.22-3.26, 2 Tm 3.23, 2 Cd 3.26
Hg  0.5000  0.0000  0.7522  8 Hg 3.22-3.26, 2 Tm 3.23, 2 Cd 3.26
Hg  0.5000  0.5000  0.0000  4 Tm 3.22, 8 Hg 3.23
Hg  0.5000  0.5000  0.5000  4 Cd 3.22, 8 Hg 3.26

Output
The total magnetization comes out at 0.00 μB/f.u. The density of states at the Fermi level comes out at 3.788 states/eV/f.u. The energy above the most stable polymorph in this dataset is 0.000 eV per formula unit. The value obtained for the energy of formation is -0.130 eV per atom. Its space group is No. 123. For the theoretical density, the calculation gives 12.832 g/cm³. The total energy comes out at -0.038 Ha/atom.

---

No. 3
## TmCdHg2 (GGA-PBE)

Data for a geometry-optimized TmCdHg2 structure.

Cell lengths 8.8587, 8.8587, 8.8587 Å; angles 24.26, 24.26, 24.26 degrees
Last column: nearest neighbours and their distance in Å.
Sites, in units of the cell vectors:
Tm  0.0000  0.0000  0.0000  6 Hg 3.05
Cd  0.1669  0.1669  0.1669  6 Hg 3.02-3.03
Hg  0.4175  0.4175  0.4175  3 Cd 3.03, 3 Tm 3.05
Hg  0.5825  0.5825  0.5825  3 Cd 3.02, 3 Tm 3.05

Output
The total magnetization comes out at 0.00 μB/f.u. The density of states at the Fermi level comes out at 1.698 states/eV/f.u. The energy above the most stable polymorph in this dataset is 0.550 eV per formula unit. The value obtained for the energy of formation is -0.189 eV per atom. Its space group is No. 160. For the theoretical density, the calculation gives 10.987 g/cm³. The total energy comes out at -0.062 Ha/atom.

---

No. 4
## TmCd12Hg7 (GGA-PBE)

Data for a geometry-optimized TmCd12Hg7 structure.

Cell lengths 8.8434, 8.8434, 8.8434 Å; angles 111.28, 111.28, 111.28 degrees
Last column: nearest neighbours and their distance in Å.
Sites, in units of the cell vectors:
Tm  0.0000  0.0000  0.0000  6 Hg 3.06
Cd  0.1041  0.3400  0.7975  3 Hg 2.92-3.22, 5 Cd 3.03-3.18
Cd  0.1795  0.5016  0.5608  4 Cd 2.94-3.18, 4 Hg 3.00-3.30
Cd  0.2025  0.8959  0.6600  3 Hg 2.92-3.22, 5 Cd 3.03-3.18
Cd  0.3400  0.7975  0.1041  3 Hg 2.92-3.22, 5 Cd 3.03-3.18
Cd  0.4392  0.8205  0.4984  4 Cd 2.94-3.18, 4 Hg 3.00-3.30
Cd  0.4984  0.4392  0.8205  4 Cd 2.94-3.18, 4 Hg 3.00-3.30
Cd  0.5016  0.5608  0.1795  4 Cd 2.94-3.18, 4 Hg 3.00-3.30
Cd  0.5608  0.1795  0.5016  4 Cd 2.94-3.18, 4 Hg 3.00-3.30
Cd  0.6600  0.2025  0.8959  3 Hg 2.92-3.22, 5 Cd 3.03-3.18
Cd  0.7975  0.1041  0.3400  3 Hg 2.92-3.22, 5 Cd 3.03-3.18
Cd  0.8205  0.4984  0.4392  4 Cd 2.94-3.18, 4 Hg 3.00-3.30
Cd  0.8959  0.6600  0.2025  3 Hg 2.92-3.22, 5 Cd 3.03-3.18
Hg  0.0873  0.4124  0.1528  5 Cd 2.92-3.22, 1 Tm 3.06
Hg  0.1528  0.0873  0.4124  5 Cd 2.92-3.22, 1 Tm 3.06
Hg  0.4124  0.1528  0.0873  5 Cd 2.92-3.22, 1 Tm 3.06
Hg  0.5000  0.5000  0.5000  6 Cd 3.07, 6 Hg 3.38
Hg  0.5876  0.8472  0.9127  5 Cd 2.92-3.22, 1 Tm 3.06
Hg  0.8472  0.9127  0.5876  5 Cd 2.92-3.22, 1 Tm 3.06
Hg  0.9127  0.5876  0.8472  5 Cd 2.92-3.22, 1 Tm 3.06

Output
The total magnetization comes out at 0.00 μB/f.u. The density of states at the Fermi level comes out at 9.528 states/eV/f.u. The energy above the most stable polymorph in this dataset is 0.916 eV per formula unit. The value obtained for the energy of formation is 0.008 eV per atom. Its space group is No. 148. For the theoretical density, the calculation gives 9.831 g/cm³. The total energy comes out at -0.032 Ha/atom.

---

No. 5
## Tm3CdHg (GGA-PBE)

Data for a geometry-optimized Tm3CdHg structure.

Cell lengths 6.1845, 6.1845, 15.1895 Å; angles 101.48, 101.48, 76.27 degrees
Last column: nearest neighbours and their distance in Å.
Sites, in units of the cell vectors:
Tm  0.0825  0.5707  0.3642  2 Hg 3.03-3.06, 2 Cd 3.09-3.36
Tm  0.1697  0.6802  0.8455  2 Hg 2.94-2.99, 2 Cd 3.14-3.22
Tm  0.2753  0.4017  0.0398  2 Hg 3.18-3.23, 2 Cd 3.34-3.35, 5 Tm 3.39-3.53
Tm  0.3198  0.8303  0.6545  2 Hg 2.94-2.99, 2 Cd 3.14-3.22
Tm  0.4017  0.2753  0.5398  2 Hg 3.18-3.23, 2 Cd 3.34-3.35, 5 Tm 3.39-3.53
Tm  0.4293  0.9175  0.1358  2 Hg 3.03-3.06, 2 Cd 3.09-3.36
Tm  0.5707  0.0825  0.8642  2 Hg 3.03-3.06, 2 Cd 3.09-3.36
Tm  0.5983  0.7247  0.4602  2 Hg 3.18-3.23, 2 Cd 3.34-3.35, 5 Tm 3.39-3.53
Tm  0.6802  0.1697  0.3455  2 Hg 2.94-2.99, 2 Cd 3.14-3.22
Tm  0.7247  0.5983  0.9602  2 Hg 3.18-3.23, 2 Cd 3.34-3.35, 5 Tm 3.39-3.53
Tm  0.8303  0.3198  0.1545  2 Hg 2.94-2.99, 2 Cd 3.14-3.22
Tm  0.9175  0.4293  0.6358  2 Hg 3.03-3.06, 2 Cd 3.09-3.36
Cd  0.0500  0.2072  0.8289  1 Cd 3.00, 5 Tm 3.09-3.35, 2 Hg 3.15-3.21
Cd  0.2072  0.0500  0.3289  1 Cd 3.00, 5 Tm 3.09-3.35, 2 Hg 3.15-3.21
Cd  0.7928  0.9500  0.6711  1 Cd 3.00, 5 Tm 3.09-3.35, 2 Hg 3.15-3.21
Cd  0.9500  0.7928  0.1711  1 Cd 3.00, 5 Tm 3.09-3.35, 2 Hg 3.15-3.21
Hg  0.0000  0.0000  0.0000  6 Tm 2.94-3.23, 2 Cd 3.21
Hg  0.0000  0.0000  0.5000  6 Tm 2.94-3.23, 2 Cd 3.21
Hg  0.4416  0.5584  0.2500  6 Tm 2.99-3.18, 2 Cd 3.15
Hg  0.5584  0.4416  0.7500  6 Tm 2.99-3.18, 2 Cd 3.15

Output
The total magnetization comes out at 0.00 μB/f.u. The density of states at the Fermi level comes out at 5.404 states/eV/f.u. The energy above the most stable polymorph in this dataset is 0.660 eV per formula unit. The value obtained for the energy of formation is -0.161 eV per atom. Its space group is No. 15. For the theoretical density, the calculation gives 9.973 g/cm³. The total energy comes out at -0.113 Ha/atom.

---

No. 6
## TmCd2Hg (GGA-PBE)

Data for a geometry-optimized TmCd2Hg structure.

Cell lengths 4.4187, 4.4187, 4.8366 Å; angles 90.00, 90.00, 90.00 degrees
Last column: nearest neighbours and their distance in Å.
Sites, in units of the cell vectors:
Tm  0.0000  0.0000  0.0000  4 Hg 3.12, 8 Cd 3.28
Cd  0.0000  0.5000  0.5000  4 Cd 3.12, 4 Hg 3.28, 4 Tm 3.28
Cd  0.5000  0.0000  0.5000  4 Cd 3.12, 4 Hg 3.28, 4 Tm 3.28
Hg  0.5000  0.5000  0.0000  4 Tm 3.12, 8 Cd 3.28

Output
The total magnetization comes out at 0.00 μB/f.u. The density of states at the Fermi level comes out at 2.183 states/eV/f.u. The energy above the most stable polymorph in this dataset is 0.034 eV per formula unit. The value obtained for the energy of formation is -0.265 eV per atom. Its space group is No. 123. For the theoretical density, the calculation gives 10.451 g/cm³. The total energy comes out at -0.070 Ha/atom.

---

Question: Among the records above, which one has the lowest theoretical density?
Answer: TmCd12Hg7

---

What did the fifth record say?
## Tm3CdHg (GGA-PBE)

Data for a geometry-optimized Tm3CdHg structure.

Cell lengths 6.1845, 6.1845, 15.1895 Å; angles 101.48, 101.48, 76.27 degrees
Last column: nearest neighbours and their distance in Å.
Sites, in units of the cell vectors:
Tm  0.0825  0.5707  0.3642  2 Hg 3.03-3.06, 2 Cd 3.09-3.36
Tm  0.1697  0.6802  0.8455  2 Hg 2.94-2.99, 2 Cd 3.14-3.22
Tm  0.2753  0.4017  0.0398  2 Hg 3.18-3.23, 2 Cd 3.34-3.35, 5 Tm 3.39-3.53
Tm  0.3198  0.8303  0.6545  2 Hg 2.94-2.99, 2 Cd 3.14-3.22
Tm  0.4017  0.2753  0.5398  2 Hg 3.18-3.23, 2 Cd 3.34-3.35, 5 Tm 3.39-3.53
Tm  0.4293  0.9175  0.1358  2 Hg 3.03-3.06, 2 Cd 3.09-3.36
Tm  0.5707  0.0825  0.8642  2 Hg 3.03-3.06, 2 Cd 3.09-3.36
Tm  0.5983  0.7247  0.4602  2 Hg 3.18-3.23, 2 Cd 3.34-3.35, 5 Tm 3.39-3.53
Tm  0.6802  0.1697  0.3455  2 Hg 2.94-2.99, 2 Cd 3.14-3.22
Tm  0.7247  0.5983  0.9602  2 Hg 3.18-3.23, 2 Cd 3.34-3.35, 5 Tm 3.39-3.53
Tm  0.8303  0.3198  0.1545  2 Hg 2.94-2.99, 2 Cd 3.14-3.22
Tm  0.9175  0.4293  0.6358  2 Hg 3.03-3.06, 2 Cd 3.09-3.36
Cd  0.0500  0.2072  0.8289  1 Cd 3.00, 5 Tm 3.09-3.35, 2 Hg 3.15-3.21
Cd  0.2072  0.0500  0.3289  1 Cd 3.00, 5 Tm 3.09-3.35, 2 Hg 3.15-3.21
Cd  0.7928  0.9500  0.6711  1 Cd 3.00, 5 Tm 3.09-3.35, 2 Hg 3.15-3.21
Cd  0.9500  0.7928  0.1711  1 Cd 3.00, 5 Tm 3.09-3.35, 2 Hg 3.15-3.21
Hg  0.0000  0.0000  0.0000  6 Tm 2.94-3.23, 2 Cd 3.21
Hg  0.0000  0.0000  0.5000  6 Tm 2.94-3.23, 2 Cd 3.21
Hg  0.4416  0.5584  0.2500  6 Tm 2.99-3.18, 2 Cd 3.15
Hg  0.5584  0.4416  0.7500  6 Tm 2.99-3.18, 2 Cd 3.15

Output
The total magnetization comes out at 0.00 μB/f.u. The density of states at the Fermi level comes out at 5.404 states/eV/f.u. The energy above the most stable polymorph in this dataset is 0.660 eV per formula unit. The value obtained for the energy of formation is -0.161 eV per atom. Its space group is No. 15. For the theoretical density, the calculation gives 9.973 g/cm³. The total energy comes out at -0.113 Ha/atom.